Record 1
# BaScAgTeSe2

An optimized crystal structure of BaScAgTeSe2 (PBE-GGA, the Open Quantum Materials Database).

Cell lengths 7.720, 7.720, 10.794 Å; angles 90.00, 90.00, 148.65 degrees
Sites, in units of the cell vectors:
Ba1 0.227 0.773 0.750
Ba2 0.773 0.227 0.250
Sc1 0.000 0.000 0.000
Sc2 0.000 0.000 0.500
Ag1 0.469 0.531 0.250
Ag2 0.531 0.469 0.750
Te1 0.089 0.911 0.250
Te2 0.911 0.089 0.750
Se1 0.376 0.624 0.045
Se2 0.376 0.624 0.455
Se3 0.624 0.376 0.545
Se4 0.624 0.376 0.955

Computed properties:
Mass density ... 5.71 Mg/m³
DFT total energy ... -0.3545 Ry/atom
Calculated volume ... 334.65 Å³ per cell

=====

Record 2
# ZrGeNO

An optimized crystal structure of ZrGeNO (PBE-GGA, the Open Quantum Materials Database).

Cell lengths 4.134, 4.134, 6.816 Å; angles 90.00, 90.00, 90.00 degrees
Sites, in units of the cell vectors:
Zr1 0.250 0.750 0.000
Zr2 0.750 0.250 0.000
Ge1 0.250 0.250 0.396
Ge2 0.750 0.750 0.604
N1 0.250 0.250 0.903
N2 0.750 0.750 0.097
O1 0.250 0.750 0.500
O2 0.750 0.250 0.500

Computed properties:
Mass density ... 5.53 Mg/m³
DFT total energy ... -0.5481 Ry/atom
Calculated volume ... 116.49 Å³ per cell
ΔE to the lowest computed polymorph ... 40.03 kJ per mole of atoms

=====

Record 3
# LuCu2Pd

An optimized crystal structure of LuCu2Pd (PBE-GGA, the Open Quantum Materials Database).

Cell lengths 4.499, 4.499, 4.499 Å; angles 60.00, 60.00, 60.00 degrees
Sites, in units of the cell vectors:
Lu1 0.000 0.000 0.000
Cu1 0.250 0.250 0.250
Cu2 0.500 0.500 0.500
Pd1 0.750 0.750 0.750

Computed properties:
Mass density ... 10.53 Mg/m³
DFT total energy ... -0.3427 Ry/atom
Calculated volume ... 64.40 Å³ per cell
Energy of formation ... -1.52 eV/f.u.

=====

Record 4
# HfAsPO

An optimized crystal structure of HfAsPO (PBE-GGA, the Open Quantum Materials Database).

Cell lengths 3.581, 3.581, 9.764 Å; angles 90.00, 90.00, 90.00 degrees
Sites, in units of the cell vectors:
Hf1 0.250 0.250 0.126
Hf2 0.750 0.750 0.874
As1 0.250 0.750 0.500
As2 0.750 0.250 0.500
P1 0.250 0.250 0.743
P2 0.750 0.750 0.257
O1 0.250 0.750 0.000
O2 0.750 0.250 0.000

Computed properties:
Mass density ... 7.97 Mg/m³
DFT total energy ... -0.5491 Ry/atom
Calculated volume ... 125.19 Å³ per cell
ΔE to the lowest computed polymorph ... 5.55 kJ per mole of atoms

=====

Record 5
# LiFe3S5

An optimized crystal structure of LiFe3S5 (PBE-GGA, the Open Quantum Materials Database).

Cell lengths 5.428, 5.428, 6.431 Å; angles 90.00, 90.00, 120.00 degrees
Sites, in units of the cell vectors:
Li1 0.000 0.000 0.000
Fe1 0.000 0.500 0.500
Fe2 0.500 0.000 0.500
Fe3 0.500 0.500 0.500
S1 0.000 0.000 0.500
S2 0.333 0.667 0.250
S3 0.333 0.667 0.750
S4 0.667 0.333 0.250
S5 0.667 0.333 0.750

Computed properties:
Mass density ... 3.39 Mg/m³
DFT total energy ... -0.4085 Ry/atom
Calculated volume ... 164.08 Å³ per cell

=====

Record 6
# Tl2CuOsCl6

An optimized crystal structure of Tl2CuOsCl6 (PBE-GGA, the Open Quantum Materials Database).

Cell lengths 6.910, 6.910, 6.910 Å; angles 60.00, 60.00, 60.00 degrees
Sites, in units of the cell vectors:
Tl1 0.250 0.250 0.250
Tl2 0.750 0.750 0.750
Cu1 0.000 0.000 0.000
Os1 0.500 0.500 0.500
Cl1 0.256 0.256 0.744
Cl2 0.256 0.744 0.256
Cl3 0.256 0.744 0.744
Cl4 0.744 0.256 0.256
Cl5 0.744 0.256 0.744
Cl6 0.744 0.744 0.256

Computed properties:
Mass density ... 6.23 Mg/m³
DFT total energy ... -0.2651 Ry/atom
Calculated volume ... 233.26 Å³ per cell

=====

Record 7
# YHoZn

An optimized crystal structure of YHoZn (PBE-GGA, the Open Quantum Materials Database).

Cell lengths 4.914, 4.914, 4.914 Å; angles 60.00, 60.00, 60.00 degrees
Sites, in units of the cell vectors:
Y1 0.000 0.000 0.000
Ho1 0.500 0.500 0.500
Zn1 0.750 0.750 0.750

Computed properties:
Mass density ... 6.32 Mg/m³
DFT total energy ... -0.3005 Ry/atom
Calculated volume ... 83.89 Å³ per cell
Energy of formation ... 0.04 eV/f.u.
ΔE to the lowest computed polymorph ... 25.04 kJ per mole of atoms

=====

Record 8
# CsPrSm

An optimized crystal structure of CsPrSm (PBE-GGA, the Open Quantum Materials Database).

Cell lengths 5.628, 5.628, 5.628 Å; angles 60.00, 60.00, 60.00 degrees
Sites, in units of the cell vectors:
Cs1 0.000 0.000 0.000
Pr1 0.250 0.250 0.250
Sm1 0.750 0.750 0.750

Computed properties:
Mass density ... 5.59 Mg/m³
DFT total energy ... -0.1690 Ry/atom
Calculated volume ... 126.04 Å³ per cell
ΔE to the lowest computed polymorph ... 0.00 kJ per mole of atoms

=====

Number 1: total moment 0.003 μB/f.u.. Number 2: total moment 0.001 μB/f.u.. Number 3: total moment 0.001 μB/f.u.. Number 4: total moment 0.001 μB/f.u.. Number 5: total moment 7.106 μB/f.u.. Number 6: total moment 0.999 μB/f.u.. Number 7: total moment 0.009 μB/f.u.. Number 8: total moment 0.004 μB/f.u..